1.
VASP calculation (PBE) on a relaxed structure of Sr2Zn4GaHg3.

```
10
Lattice="4.441 0.000 0.000 0.000 4.441 0.000 0.000 0.000 11.831" Properties=species:S:1:pos:R:3 pbc="T T T"
Sr 0.000 2.220 2.892
Sr 2.220 0.000 8.940
Zn 0.000 0.000 5.916
Zn 0.000 2.220 10.279
Zn 2.220 0.000 1.552
Zn 2.220 2.220 5.916
Ga 2.220 2.220 0.000
Hg 0.000 0.000 0.000
Hg 0.000 2.220 7.579
Hg 2.220 0.000 4.252
```

As for the calculated formation energy: -0.2852 eV per atom. The space group is P-4m2 (115).

***

2.
VASP calculation (PBE) on a relaxed structure of Al3SO.

```
5
Lattice="4.323 0.000 0.000 0.000 4.323 0.000 0.000 0.000 4.323" Properties=species:S:1:pos:R:3 pbc="T T T"
Al 0.000 0.000 2.162
Al 0.000 2.162 0.000
Al 2.162 0.000 0.000
S 2.162 2.162 2.162
O 0.000 0.000 0.000
```

The value obtained for the energy relative to the elements, uncorrected is -0.150 eV/atom. The space group is Pm-3m (221). The calculation puts the energy above the lowest structure with this stoichiometry at 0.000 eV per formula unit.

***

3.
VASP calculation (PBE) on a relaxed structure of Re4Cl.

```
5
Lattice="4.309 0.000 0.000 0.000 4.309 0.000 0.000 0.000 4.309" Properties=species:S:1:pos:R:3 pbc="T T T"
Re 0.000 0.000 0.000
Re 0.000 2.154 2.154
Re 2.154 0.000 2.154
Re 2.154 2.154 0.000
Cl 2.154 2.154 2.154
```

The value obtained for the energy relative to the elements, uncorrected is 1.820 eV/atom. The space group is Pm-3m (221). The calculation puts the energy above the lowest structure with this stoichiometry at 4.775 eV per formula unit.

***

4.
VASP calculation (PBE) on a relaxed structure of PmU4As5.

```
10
Lattice="-2.039 2.908 10.390 2.039 -2.908 10.390 2.039 2.908 -10.390" Properties=species:S:1:pos:R:3 pbc="T T T"
Pm 0.000 0.000 0.000
U 0.000 0.000 4.193
U 0.000 0.000 8.314
U 0.000 0.000 12.465
U 0.000 0.000 16.586
As 2.039 0.000 2.154
As 2.039 0.000 6.253
As 0.000 2.908 0.000
As 0.000 2.908 4.136
As 0.000 2.908 8.236
```

As for the calculated formation energy: -0.8710 eV per atom. The space group is Immm (71).

***

N(E_F) / states/eV per atom: 0.41, 0.60, 0.85, 2.59